one | First-principles (PBE) data for crystalline CaTlPb at its relaxed geometry, as listed in Alexandria via LeMat-Bulk.

Lattice parameters (Å, degrees): 5.961 5.961 5.961 142.66 133.31 61.25
Atoms (fractional coordinates):
Ca: 0.000 0.000 0.000
Tl: 0.328 0.328 0.000
Pb: 0.669 0.669 0.000

Summary:
- ρ: 8.11 g/cm³
- DOS(E_F): 0.93 states/eV/f.u.

two | First-principles (PBE) data for crystalline CaTlPb at its relaxed geometry, as listed in Alexandria via LeMat-Bulk.

Lattice parameters (Å, degrees): 4.711 4.850 8.258 90.00 106.43 90.00
Atoms (fractional coordinates):
Ca: 0.092 0.250 0.185
Ca: 0.908 0.750 0.815
Tl: 0.246 0.750 0.492
Tl: 0.754 0.250 0.508
Pb: 0.423 0.250 0.847
Pb: 0.577 0.750 0.153

Summary:
- ρ: 8.29 g/cm³
- DOS(E_F): 1.42 states/eV/f.u.

three | First-principles (PBE) data for crystalline CaTlPb at its relaxed geometry, as listed in Alexandria via LeMat-Bulk.

Lattice parameters (Å, degrees): 5.244 5.244 5.244 60.00 60.00 60.00
Atoms (fractional coordinates):
Ca: 0.000 0.000 0.000
Tl: 0.750 0.750 0.750
Pb: 0.250 0.250 0.250

Summary:
- ρ: 7.36 g/cm³
- DOS(E_F): 1.24 states/eV/f.u.

Going by the computed energies, the most stable comes first: two, one, three.

one | First-principles (PBE) data for crystalline CaTlPb at its relaxed geometry, as listed in Alexandria via LeMat-Bulk.

Lattice parameters (Å, degrees): 3.802 3.802 7.698 90.00 90.00 120.00
Atoms (fractional coordinates):
Ca: 0.000 0.000 0.000
Tl: 0.333 0.667 0.667
Pb: 0.667 0.333 0.343

Summary:
- ρ: 7.78 g/cm³
- DOS(E_F): 2.56 states/eV/f.u.

two | First-principles (PBE) data for crystalline CaTlPb at its relaxed geometry, as listed in Alexandria via LeMat-Bulk.

Lattice parameters (Å, degrees): 6.240 6.240 8.763 104.81 104.81 35.14
Atoms (fractional coordinates):
Ca: 0.136 0.136 0.260
Ca: 0.864 0.864 0.740
Tl: 0.123 0.123 0.623
Tl: 0.877 0.877 0.377
Pb: 0.379 0.379 0.070
Pb: 0.621 0.621 0.930

Summary:
- ρ: 7.93 g/cm³
- DOS(E_F): 1.49 states/eV/f.u.

three | First-principles (PBE) data for crystalline CaTlPb at its relaxed geometry, as listed in Alexandria via LeMat-Bulk.

Lattice parameters (Å, degrees): 5.311 5.311 5.311 60.00 60.00 60.00
Atoms (fractional coordinates):
Ca: 0.000 0.000 0.000
Tl: 0.500 0.500 0.500
Pb: 0.250 0.250 0.250

Summary:
- ρ: 7.08 g/cm³
- DOS(E_F): 2.06 states/eV/f.u.

Going by the computed energies, the most stable comes first: two, three, one.

one | First-principles (PBE) data for crystalline Ca8Tl2Pb at its relaxed geometry, as listed in Alexandria via LeMat-Bulk.

Lattice parameters (Å, degrees): 9.485 9.485 9.485 147.02 127.35 63.54
Atoms (fractional coordinates):
Ca: 0.122 0.343 0.780
Ca: 0.154 0.154 0.000
Ca: 0.301 0.000 0.301
Ca: 0.437 0.657 0.780
Ca: 0.563 0.343 0.220
Ca: 0.699 0.000 0.699
Ca: 0.846 0.846 0.000
Ca: 0.878 0.657 0.220
Tl: 0.311 0.811 0.500
Tl: 0.689 0.189 0.500
Pb: 0.000 0.500 0.500

Summary:
- ρ: 4.26 g/cm³
- DOS(E_F): 6.17 states/eV/f.u.

two | First-principles (PBE) data for crystalline Ca8Tl2Pb at its relaxed geometry, as listed in Alexandria via LeMat-Bulk.

Lattice parameters (Å, degrees): 9.831 9.831 7.766 110.50 110.50 32.19
Atoms (fractional coordinates):
Ca: 0.026 0.026 0.275
Ca: 0.196 0.196 0.792
Ca: 0.332 0.332 0.550
Ca: 0.402 0.402 0.047
Ca: 0.598 0.598 0.953
Ca: 0.668 0.668 0.450
Ca: 0.804 0.804 0.208
Ca: 0.974 0.974 0.725
Tl: 0.181 0.181 0.188
Tl: 0.819 0.819 0.812
Pb: 0.500 0.500 0.500

Summary:
- ρ: 4.18 g/cm³
- DOS(E_F): 6.21 states/eV/f.u.

Going by the computed energies, the most stable comes first: two, one.

one | First-principles (PBE) data for crystalline Ca2Tl3Pb2 at its relaxed geometry, as listed in Alexandria via LeMat-Bulk.

Lattice parameters (Å, degrees): 8.347 8.347 8.347 109.47 109.47 109.47
Atoms (fractional coordinates):
Ca: 0.000 0.025 0.500
Ca: 0.025 0.500 0.000
Ca: 0.475 0.475 0.475
Ca: 0.500 0.000 0.025
Tl: 0.236 0.986 0.250
Tl: 0.250 0.236 0.986
Tl: 0.264 0.514 0.750
Tl: 0.514 0.750 0.264
Tl: 0.750 0.264 0.514
Tl: 0.986 0.250 0.236
Pb: 0.000 0.646 0.500
Pb: 0.500 0.000 0.646
Pb: 0.646 0.500 0.000
Pb: 0.854 0.854 0.854

Summary:
- ρ: 8.22 g/cm³
- DOS(E_F): 5.35 states/eV/f.u.

two | First-principles (PBE) data for crystalline Ca2Tl3Pb2 at its relaxed geometry, as listed in Alexandria via LeMat-Bulk.

Lattice parameters (Å, degrees): 4.818 4.989 9.858 104.27 104.05 90.09
Atoms (fractional coordinates):
Ca: 0.121 0.121 0.242
Ca: 0.879 0.879 0.758
Tl: 0.247 0.747 0.494
Tl: 0.500 0.000 0.000
Tl: 0.753 0.253 0.506
Pb: 0.381 0.384 0.766
Pb: 0.619 0.616 0.234

Summary:
- ρ: 8.27 g/cm³
- DOS(E_F): 4.34 states/eV/f.u.

Going by the computed energies, the most stable comes first: two, one.

one | First-principles (PBE) data for crystalline Ca2TlPb2 at its relaxed geometry, as listed in Alexandria via LeMat-Bulk.

Lattice parameters (Å, degrees): 9.615 9.615 3.491 90.00 90.00 90.00
Atoms (fractional coordinates):
Ca: 0.127 0.373 0.000
Ca: 0.373 0.873 0.000
Ca: 0.627 0.127 0.000
Ca: 0.873 0.627 0.000
Tl: 0.000 0.000 0.000
Tl: 0.500 0.500 0.000
Pb: 0.174 0.674 0.500
Pb: 0.326 0.174 0.500
Pb: 0.674 0.826 0.500
Pb: 0.826 0.326 0.500

Summary:
- ρ: 7.19 g/cm³
- DOS(E_F): 2.22 states/eV/f.u.

two | First-principles (PBE) data for crystalline Ca2TlPb2 at its relaxed geometry, as listed in Alexandria via LeMat-Bulk.

Lattice parameters (Å, degrees): 7.452 7.452 7.452 137.52 137.52 61.65
Atoms (fractional coordinates):
Ca: 0.250 0.750 0.500
Ca: 0.750 0.250 0.500
Tl: 0.000 0.000 0.000
Pb: 0.389 0.389 0.000
Pb: 0.611 0.611 0.000

Summary:
- ρ: 6.22 g/cm³
- DOS(E_F): 3.50 states/eV/f.u.

Going by the computed energies, the most stable comes first: one, two.

one | First-principles (PBE) data for crystalline CaTl7Pb4 at its relaxed geometry, as listed in Alexandria via LeMat-Bulk.

Lattice parameters (Å, degrees): 6.722 6.722 12.303 114.85 114.85 53.55
Atoms (fractional coordinates):
Ca: 0.000 0.000 0.000
Tl: 0.111 0.111 0.454
Tl: 0.293 0.293 0.087
Tl: 0.339 0.339 0.380
Tl: 0.500 0.500 0.000
Tl: 0.661 0.661 0.620
Tl: 0.707 0.707 0.913
Tl: 0.889 0.889 0.546
Pb: 0.181 0.181 0.778
Pb: 0.411 0.411 0.698
Pb: 0.589 0.589 0.302
Pb: 0.819 0.819 0.222

Summary:
- ρ: 9.68 g/cm³
- DOS(E_F): 6.71 states/eV/f.u.

two | First-principles (PBE) data for crystalline CaTl7Pb4 at its relaxed geometry, as listed in Alexandria via LeMat-Bulk.

Lattice parameters (Å, degrees): 5.497 5.497 14.057 90.00 90.00 120.00
Atoms (fractional coordinates):
Ca: 0.000 0.000 0.000
Tl: 0.000 0.000 0.254
Tl: 0.000 0.000 0.500
Tl: 0.000 0.000 0.746
Tl: 0.333 0.667 0.668
Tl: 0.333 0.667 0.915
Tl: 0.667 0.333 0.085
Tl: 0.667 0.333 0.332
Pb: 0.333 0.667 0.160
Pb: 0.333 0.667 0.409
Pb: 0.667 0.333 0.591
Pb: 0.667 0.333 0.840

Summary:
- ρ: 10.38 g/cm³
- DOS(E_F): 5.36 states/eV/f.u.

Going by the computed energies, the most stable comes first: two, one.

one | First-principles (PBE) data for crystalline Ca2Tl6Pb at its relaxed geometry, as listed in Alexandria via LeMat-Bulk.

Lattice parameters (Å, degrees): 7.633 7.633 8.256 108.78 108.78 36.40
Atoms (fractional coordinates):
Ca: 0.057 0.057 0.311
Ca: 0.943 0.943 0.689
Tl: 0.171 0.171 0.999
Tl: 0.269 0.269 0.665
Tl: 0.389 0.389 0.340
Tl: 0.611 0.611 0.660
Tl: 0.731 0.731 0.335
Tl: 0.829 0.829 0.001
Pb: 0.500 0.500 0.000

Summary:
- ρ: 9.36 g/cm³
- DOS(E_F): 4.47 states/eV/f.u.

two | First-principles (PBE) data for crystalline Ca2Tl6Pb at its relaxed geometry, as listed in Alexandria via LeMat-Bulk.

Lattice parameters (Å, degrees): 8.905 3.602 9.620 90.00 115.52 90.00
Atoms (fractional coordinates):
Ca: 0.184 0.000 0.375
Ca: 0.816 0.000 0.625
Tl: 0.158 0.500 0.677
Tl: 0.181 0.000 0.999
Tl: 0.477 0.500 0.324
Tl: 0.523 0.500 0.676
Tl: 0.819 0.000 0.001
Tl: 0.842 0.500 0.323
Pb: 0.500 0.500 0.000

Summary:
- ρ: 9.03 g/cm³
- DOS(E_F): 3.57 states/eV/f.u.

Going by the computed energies, the most stable comes first: one, two.

one | First-principles (PBE) data for crystalline Ca3TlPb at its relaxed geometry, as listed in Alexandria via LeMat-Bulk.

Lattice parameters (Å, degrees): 6.003 6.003 6.003 90.00 90.00 90.00
Atoms (fractional coordinates):
Ca: 0.000 0.000 0.500
Ca: 0.000 0.500 0.000
Ca: 0.500 0.000 0.000
Tl: 0.500 0.500 0.500
Pb: 0.000 0.000 0.000

Summary:
- ρ: 4.08 g/cm³
- DOS(E_F): 4.38 states/eV/f.u.

two | First-principles (PBE) data for crystalline Ca3TlPb at its relaxed geometry, as listed in Alexandria via LeMat-Bulk.

Lattice parameters (Å, degrees): 9.436 9.436 7.114 90.00 90.00 149.73
Atoms (fractional coordinates):
Ca: 0.096 0.904 0.510
Ca: 0.096 0.904 0.990
Ca: 0.284 0.716 0.750
Ca: 0.716 0.284 0.250
Ca: 0.904 0.096 0.010
Ca: 0.904 0.096 0.490
Tl: 0.485 0.515 0.750
Tl: 0.515 0.485 0.250
Pb: 0.325 0.675 0.250
Pb: 0.675 0.325 0.750

Summary:
- ρ: 5.53 g/cm³
- DOS(E_F): 3.78 states/eV/f.u.

three | First-principles (PBE) data for crystalline Ca3TlPb at its relaxed geometry, as listed in Alexandria via LeMat-Bulk.

Lattice parameters (Å, degrees): 10.515 10.515 5.657 90.00 90.00 148.83
Atoms (fractional coordinates):
Ca: 0.066 0.934 0.750
Ca: 0.250 0.750 0.750
Ca: 0.433 0.567 0.750
Ca: 0.567 0.433 0.250
Ca: 0.750 0.250 0.250
Ca: 0.934 0.066 0.250
Tl: 0.350 0.650 0.250
Tl: 0.650 0.350 0.750
Pb: 0.152 0.848 0.250
Pb: 0.848 0.152 0.750

Summary:
- ρ: 5.46 g/cm³
- DOS(E_F): 2.66 states/eV/f.u.

Going by the computed energies, the most stable comes first: three, two, one.

one | First-principles (PBE) data for crystalline Ca2Tl3Pb at its relaxed geometry, as listed in Alexandria via LeMat-Bulk.

Lattice parameters (Å, degrees): 8.407 8.407 5.205 90.08 90.08 100.46
Atoms (fractional coordinates):
Ca: 0.018 0.333 0.250
Ca: 0.333 0.018 0.750
Ca: 0.667 0.982 0.250
Ca: 0.982 0.667 0.750
Tl: 0.072 0.928 0.250
Tl: 0.258 0.414 0.750
Tl: 0.414 0.258 0.250
Tl: 0.586 0.742 0.750
Tl: 0.742 0.586 0.250
Tl: 0.928 0.072 0.750
Pb: 0.323 0.677 0.250
Pb: 0.677 0.323 0.750

Summary:
- ρ: 8.27 g/cm³
- DOS(E_F): 3.65 states/eV/f.u.

two | First-principles (PBE) data for crystalline Ca2Tl3Pb at its relaxed geometry, as listed in Alexandria via LeMat-Bulk.

Lattice parameters (Å, degrees): 3.609 5.699 8.865 90.00 90.00 90.00
Atoms (fractional coordinates):
Ca: 0.000 0.000 0.000
Ca: 0.000 0.500 0.488
Tl: 0.500 0.000 0.673
Tl: 0.500 0.500 0.162
Tl: 0.500 0.500 0.819
Pb: 0.500 0.000 0.326

Summary:
- ρ: 8.20 g/cm³
- DOS(E_F): 3.66 states/eV/f.u.

Going by the computed energies, the most stable comes first: one, two.

one | First-principles (PBE) data for crystalline CaTl6Pb2 at its relaxed geometry, as listed in Alexandria via LeMat-Bulk.

Lattice parameters (Å, degrees): 8.363 8.363 8.363 48.75 48.75 48.75
Atoms (fractional coordinates):
Ca: 0.000 0.000 0.000
Tl: 0.251 0.716 0.716
Tl: 0.451 0.941 0.941
Tl: 0.716 0.251 0.716
Tl: 0.716 0.716 0.251
Tl: 0.941 0.451 0.941
Tl: 0.941 0.941 0.451
Pb: 0.252 0.252 0.252
Pb: 0.420 0.420 0.420

Summary:
- ρ: 9.20 g/cm³
- DOS(E_F): 3.54 states/eV/f.u.

two | First-principles (PBE) data for crystalline CaTl6Pb2 at its relaxed geometry, as listed in Alexandria via LeMat-Bulk.

Lattice parameters (Å, degrees): 10.287 10.287 5.180 90.00 90.00 90.00
Atoms (fractional coordinates):
Ca: 0.000 0.000 0.000
Ca: 0.500 0.500 0.500
Tl: 0.006 0.335 0.000
Tl: 0.162 0.838 0.500
Tl: 0.165 0.506 0.500
Tl: 0.335 0.006 0.000
Tl: 0.338 0.338 0.000
Tl: 0.494 0.835 0.500
Tl: 0.506 0.165 0.500
Tl: 0.662 0.662 0.000
Tl: 0.665 0.994 0.000
Tl: 0.835 0.494 0.500
Tl: 0.838 0.162 0.500
Tl: 0.994 0.665 0.000
Pb: 0.180 0.180 0.500
Pb: 0.320 0.680 0.000
Pb: 0.680 0.320 0.000
Pb: 0.820 0.820 0.500

Summary:
- ρ: 10.18 g/cm³
- DOS(E_F): 3.44 states/eV/f.u.

Going by the computed energies, the most stable comes first: two, one.